Record 1
Compound: GaFeI2
Source: Alexandria via LeMat-Bulk
Functional: PBE-GGA
Structure: optimized geometry

Summary:
The calculation puts the total energy at -3.241 eV per atom. The value obtained for the total magnetization is 12.325 Bohr magnetons per cell.

abc: 7.4070 7.4070 7.4070
angles: 90.00 90.00 90.00
Last column: nearest neighbours and their distance in Å.
Space group Fm-3m (No. 225)
Asymmetric unit:
Ga 0.0000 0.0000 0.0000 x4  8 I 3.21
Fe 0.0000 0.0000 0.5000 x4  8 I 3.21
I 0.2500 0.2500 0.2500 x8  4 Fe 3.21, 4 Ga 3.21



Record 2
Compound: GaFe3I9
Source: Alexandria via LeMat-Bulk
Functional: PBE-GGA
Structure: optimized geometry

Summary:
The calculation puts the total energy at -3.420 eV per atom. The value obtained for the total magnetization is 56.037 Bohr magnetons per cell.

abc: 20.6793 10.3961 14.9184
angles: 90.00 131.19 90.00
Last column: nearest neighbours and their distance in Å.
Space group Cc (No. 9)
Asymmetric unit:
Ga 0.0000 0.2227 0.0000 x4  6 I 3.19-3.44
Fe 0.1551 0.1095 0.8369 x4  4 I 2.53-2.65
Fe 0.2385 0.4083 0.7159 x4  4 I 2.52-2.67
Fe 0.3618 0.0841 0.6773 x4  4 I 2.52-2.67
I 0.0338 0.0787 0.8371 x4  1 Fe 2.53
I 0.1265 0.3378 0.7380 x4  2 Fe 2.65
I 0.1597 0.0639 0.2219 x4  1 Fe 2.53
I 0.1748 0.3901 0.0904 x4  1 Fe 2.53
I 0.2285 0.2375 0.5734 x4  2 Fe 2.63-2.67
I 0.3102 0.1308 0.0489 x4  2 Fe 2.64-2.67
I 0.3854 0.4417 0.9175 x4  1 Fe 2.52
I 0.4159 0.0149 0.8787 x4  1 Fe 2.52
I 0.4790 0.1885 0.6907 x4  1 Fe 2.54



Record 3
Compound: GaFe2I
Source: Alexandria via LeMat-Bulk
Functional: PBE-GGA
Structure: optimized geometry

Summary:
The calculation puts the total energy at -4.350 eV per atom. The value obtained for the total magnetization is 0.031 Bohr magnetons per cell.

abc: 5.3942 5.3942 10.9369
angles: 90.00 90.00 90.00
Last column: nearest neighbours and their distance in Å.
Space group I-42d (No. 122)
Asymmetric unit:
Ga 0.0000 0.0000 0.0000 x4  4 Fe 2.29
Fe 0.2326 0.2500 0.1250 x8  2 Ga 2.29, 2 I 2.40
I 0.0000 0.0000 0.5000 x4  4 Fe 2.40



Record 4
Compound: Ga2FeI
Source: Alexandria via LeMat-Bulk
Functional: PBE-GGA
Structure: optimized geometry

Summary:
The calculation puts the total energy at -3.599 eV per atom. The value obtained for the total magnetization is 9.454 Bohr magnetons per cell.

abc: 5.1962 5.1962 15.9236
angles: 90.00 90.00 90.00
Last column: nearest neighbours and their distance in Å.
Space group I-42d (No. 122)
Asymmetric unit:
Ga 0.0839 0.2500 0.1250 x8  2 Fe 2.42
Fe 0.0000 0.0000 0.0000 x4  4 Ga 2.42
I 0.0000 0.0000 0.5000 x4  4 Ga 3.21



Record 5
Compound: LiGaFeI2
Source: Alexandria via LeMat-Bulk
Functional: PBE-GGA
Structure: optimized geometry

Summary:
The calculation puts the total energy at -2.834 eV per atom. The value obtained for the total magnetization is 3.908 Bohr magnetons per cell.

abc: 5.2796 5.2796 5.0599
angles: 90.00 90.00 90.00
Last column: nearest neighbours and their distance in Å.
Space group P4/mmm (No. 123)
Asymmetric unit:
Li 0.0000 0.0000 0.0000 x1  2 Ga 2.53, 4 I 2.64
Ga 0.0000 0.0000 0.5000 x1  2 Li 2.53
Fe 0.5000 0.5000 0.5000 x1  8 I 3.66, 4 Ga 3.73
I 0.0000 0.5000 0.0000 x2  2 Li 2.64



Record 6
Compound: MnGaFe2I
Source: Alexandria via LeMat-Bulk
Functional: PBE-GGA
Structure: optimized geometry

Summary:
The calculation puts the total energy at -5.142 eV per atom. The value obtained for the total magnetization is 8.888 Bohr magnetons per cell.

abc: 4.5836 4.5836 4.8069
angles: 90.00 90.00 90.00
Last column: nearest neighbours and their distance in Å.
Space group P4/mmm (No. 123)
Asymmetric unit:
Mn 0.0000 0.0000 0.0000 x1  2 Ga 2.40
Ga 0.0000 0.0000 0.5000 x1  4 Fe 2.29, 2 Mn 2.40
Fe 0.0000 0.5000 0.5000 x2  2 Ga 2.29
I 0.5000 0.5000 0.0000 x1  4 Mn 3.24, 8 Fe 3.32



Record 7
Compound: GaFeI2N
Source: Alexandria via LeMat-Bulk
Functional: PBE-GGA
Structure: optimized geometry

Summary:
The calculation puts the total energy at -4.309 eV per atom. The value obtained for the total magnetization is 0.302 Bohr magnetons per cell.

abc: 5.5806 5.5806 3.4937
angles: 90.00 90.00 90.00
Last column: nearest neighbours and their distance in Å.
Space group P4/mmm (No. 123)
Asymmetric unit:
Ga 0.0000 0.0000 0.0000 x1  8 I 3.29, 2 Ga 3.49
Fe 0.5000 0.5000 0.5000 x1  2 N 1.75
I 0.0000 0.5000 0.5000 x2  2 Fe 2.79
N 0.5000 0.5000 0.0000 x1  2 Fe 1.75



Record 8
Compound: GaFeIN2
Source: Alexandria via LeMat-Bulk
Functional: PBE-GGA
Structure: optimized geometry

Summary:
The calculation puts the total energy at -4.871 eV per atom. The value obtained for the total magnetization is 0.600 Bohr magnetons per cell.

abc: 3.8297 3.8297 5.4820
angles: 90.00 90.00 90.00
Last column: nearest neighbours and their distance in Å.
Space group P4/mmm (No. 123)
Asymmetric unit:
Ga 0.0000 0.0000 0.0000 x1  4 I 2.71
Fe 0.5000 0.5000 0.5000 x1  4 N 1.91
I 0.5000 0.5000 0.0000 x1  4 Ga 2.71, 2 Fe 2.74
N 0.0000 0.5000 0.5000 x2  2 Fe 1.91



Record 9
Compound: GaFeIN2
Source: Alexandria via LeMat-Bulk
Functional: PBE-GGA
Structure: optimized geometry

Summary:
The calculation puts the total energy at -4.472 eV per atom. The value obtained for the total magnetization is 5.307 Bohr magnetons per cell.

abc: 3.9255 3.9255 6.0847
angles: 90.00 90.00 90.00
Last column: nearest neighbours and their distance in Å.
Space group P4/mmm (No. 123)
Asymmetric unit:
Ga 0.0000 0.0000 0.0000 x1  4 N 1.96
Fe 0.5000 0.5000 0.5000 x1  4 I 2.78
I 0.0000 0.0000 0.5000 x1  4 Fe 2.78, 2 Ga 3.04
N 0.0000 0.5000 0.0000 x2  2 Ga 1.96